Compound: ZrZnPb2
Source: Alexandria
Functional: PBE-GGA
Structure: relaxed

Computed properties:
space-group type	P4mm
total energy	-0.15903	Ha/atom

Lattice parameters (Å, degrees): 3.2212 3.2212 9.7841 90.00 90.00 90.00
Positions (direct):
Pb1 0.0000 0.0000 0.9604
Pb2 0.5000 0.5000 0.3035
Zn1 0.0000 0.0000 0.5271
Zr1 0.5000 0.5000 0.7090